Ac2Pm3PuSe6 | PBE | relaxed

Computed properties:
Formation energy from raw total energies   -1790 meV per atom

```
data_Ac2Pm3PuSe6
_chemical_formula_sum 'Ac2 Pm3 Pu1 Se6'
_cell_length_a 9.588
_cell_length_b 9.588
_cell_length_c 8.620
_cell_angle_alpha 103.33
_cell_angle_beta 103.33
_cell_angle_gamma 25.66
_symmetry_space_group_name_H-M 'P 1'
_symmetry_Int_Tables_number 1
_symmetry_space_group_name_Hall 'P 1'
loop_
_atom_site_label
_atom_site_fract_x
_atom_site_fract_y
_atom_site_fract_z
Ac1 0.164 0.164 0.331
Ac2 0.836 0.836 0.669
Pm1 0.168 0.168 0.837
Pm2 0.500 0.500 0.500
Pm3 0.832 0.832 0.163
Pu1 0.500 0.500 0.000
Se1 0.005 0.005 0.755
Se2 0.335 0.335 0.928
Se3 0.337 0.337 0.406
Se4 0.663 0.663 0.594
Se5 0.665 0.665 0.072
Se6 0.995 0.995 0.245
```

***

AcPmPu2Se4 | PBE | relaxed

Computed properties:
Formation energy from raw total energies   -1676 meV per atom

```
data_AcPmPu2Se4
_chemical_formula_sum 'Ac1 Pm1 Pu2 Se4'
_cell_length_a 7.308
_cell_length_b 4.236
_cell_length_c 7.424
_cell_angle_alpha 90.00
_cell_angle_beta 109.46
_cell_angle_gamma 90.00
_symmetry_space_group_name_H-M 'P 1'
_symmetry_Int_Tables_number 1
_symmetry_space_group_name_Hall 'P 1'
loop_
_atom_site_label
_atom_site_fract_x
_atom_site_fract_y
_atom_site_fract_z
Ac1 0.000 0.000 0.000
Pm1 0.000 0.500 0.500
Pu1 0.500 0.000 0.500
Pu2 0.500 0.500 0.000
Se1 0.260 0.000 0.746
Se2 0.266 0.500 0.264
Se3 0.734 0.500 0.736
Se4 0.740 0.000 0.254
```

***

Ac3Pm2PuSe6 | PBE | relaxed

Computed properties:
Formation energy from raw total energies   -1797 meV per atom

```
data_Ac3Pm2PuSe6
_chemical_formula_sum 'Ac3 Pm2 Pu1 Se6'
_cell_length_a 7.462
_cell_length_b 7.462
_cell_length_c 7.540
_cell_angle_alpha 99.48
_cell_angle_beta 99.48
_cell_angle_gamma 120.02
_symmetry_space_group_name_H-M 'P 1'
_symmetry_Int_Tables_number 1
_symmetry_space_group_name_Hall 'P 1'
loop_
_atom_site_label
_atom_site_fract_x
_atom_site_fract_y
_atom_site_fract_z
Ac1 0.000 0.000 0.000
Ac2 0.332 0.668 0.000
Ac3 0.668 0.332 0.000
Pm1 0.167 0.833 0.500
Pm2 0.833 0.167 0.500
Pu1 0.500 0.500 0.500
Se1 0.092 0.423 0.269
Se2 0.247 0.247 0.732
Se3 0.423 0.092 0.269
Se4 0.577 0.908 0.731
Se5 0.753 0.753 0.268
Se6 0.908 0.577 0.731
```

***

AcPmSmPu | PBE | relaxed

Computed properties:
ΔH_f (0 K)   0.268 eV per atom

```
data_AcPmSmPu
_chemical_formula_sum 'Ac4 Pm4 Sm4 Pu4'
_cell_length_a 8.277
_cell_length_b 8.277
_cell_length_c 8.277
_cell_angle_alpha 90.00
_cell_angle_beta 90.00
_cell_angle_gamma 90.00
_symmetry_space_group_name_H-M 'P 1'
_symmetry_Int_Tables_number 1
_symmetry_space_group_name_Hall 'P 1'
loop_
_atom_site_label
_atom_site_fract_x
_atom_site_fract_y
_atom_site_fract_z
Ac1 0.000 0.000 0.000
Ac2 0.000 0.500 0.500
Ac3 0.500 0.000 0.500
Ac4 0.500 0.500 0.000
Pm1 0.250 0.250 0.750
Pm2 0.250 0.750 0.250
Pm3 0.750 0.250 0.250
Pm4 0.750 0.750 0.750
Sm1 0.250 0.250 0.250
Sm2 0.250 0.750 0.750
Sm3 0.750 0.250 0.750
Sm4 0.750 0.750 0.250
Pu1 0.000 0.000 0.500
Pu2 0.000 0.500 0.000
Pu3 0.500 0.000 0.000
Pu4 0.500 0.500 0.500
```

***

AcPmPuSn | PBE | relaxed

Computed properties:
ΔH_f (0 K)   -0.027 eV per atom

```
data_AcPmPuSn
_chemical_formula_sum 'Ac4 Pm4 Pu4 Sn4'
_cell_length_a 8.009
_cell_length_b 8.009
_cell_length_c 8.009
_cell_angle_alpha 90.00
_cell_angle_beta 90.00
_cell_angle_gamma 90.00
_symmetry_space_group_name_H-M 'P 1'
_symmetry_Int_Tables_number 1
_symmetry_space_group_name_Hall 'P 1'
loop_
_atom_site_label
_atom_site_fract_x
_atom_site_fract_y
_atom_site_fract_z
Ac1 0.000 0.000 0.000
Ac2 0.000 0.500 0.500
Ac3 0.500 0.000 0.500
Ac4 0.500 0.500 0.000
Pm1 0.250 0.250 0.750
Pm2 0.250 0.750 0.250
Pm3 0.750 0.250 0.250
Pm4 0.750 0.750 0.750
Pu1 0.000 0.000 0.500
Pu2 0.000 0.500 0.000
Pu3 0.500 0.000 0.000
Pu4 0.500 0.500 0.500
Sn1 0.250 0.250 0.250
Sn2 0.250 0.750 0.750
Sn3 0.750 0.250 0.750
Sn4 0.750 0.750 0.250
```

***

Ac2Pm3PuTe6 | PBE | relaxed

Computed properties:
Formation energy from raw total energies   -1383 meV per atom

```
data_Ac2Pm3PuTe6
_chemical_formula_sum 'Ac2 Pm3 Pu1 Te6'
_cell_length_a 10.191
_cell_length_b 10.191
_cell_length_c 9.159
_cell_angle_alpha 103.24
_cell_angle_beta 103.24
_cell_angle_gamma 25.68
_symmetry_space_group_name_H-M 'P 1'
_symmetry_Int_Tables_number 1
_symmetry_space_group_name_Hall 'P 1'
loop_
_atom_site_label
_atom_site_fract_x
_atom_site_fract_y
_atom_site_fract_z
Ac1 0.165 0.165 0.332
Ac2 0.835 0.835 0.668
Pm1 0.171 0.171 0.838
Pm2 0.500 0.500 0.500
Pm3 0.829 0.829 0.162
Pu1 0.500 0.500 0.000
Te1 0.006 0.006 0.755
Te2 0.336 0.336 0.928
Te3 0.337 0.337 0.405
Te4 0.663 0.663 0.595
Te5 0.664 0.664 0.072
Te6 0.994 0.994 0.245
```

***

AcPmTmPu | PBE | relaxed

Computed properties:
ΔH_f (0 K)   0.266 eV per atom

```
data_AcPmTmPu
_chemical_formula_sum 'Ac4 Pm4 Tm4 Pu4'
_cell_length_a 8.204
_cell_length_b 8.204
_cell_length_c 8.204
_cell_angle_alpha 90.00
_cell_angle_beta 90.00
_cell_angle_gamma 90.00
_symmetry_space_group_name_H-M 'P 1'
_symmetry_Int_Tables_number 1
_symmetry_space_group_name_Hall 'P 1'
loop_
_atom_site_label
_atom_site_fract_x
_atom_site_fract_y
_atom_site_fract_z
Ac1 0.000 0.000 0.000
Ac2 0.000 0.500 0.500
Ac3 0.500 0.000 0.500
Ac4 0.500 0.500 0.000
Pm1 0.250 0.250 0.750
Pm2 0.250 0.750 0.250
Pm3 0.750 0.250 0.250
Pm4 0.750 0.750 0.750
Tm1 0.250 0.250 0.250
Tm2 0.250 0.750 0.750
Tm3 0.750 0.250 0.750
Tm4 0.750 0.750 0.250
Pu1 0.000 0.000 0.500
Pu2 0.000 0.500 0.000
Pu3 0.500 0.000 0.000
Pu4 0.500 0.500 0.500
```

***

RbAc2Pm | PBE | relaxed

Computed properties:
ΔH_f (0 K)   0.186 eV per atom

```
data_RbAc2Pm
_chemical_formula_sum 'Rb3 Ac6 Pm3'
_cell_length_a 3.940
_cell_length_b 3.940
_cell_length_c 42.537
_cell_angle_alpha 90.00
_cell_angle_beta 90.00
_cell_angle_gamma 120.00
_symmetry_space_group_name_H-M 'P 1'
_symmetry_Int_Tables_number 1
_symmetry_space_group_name_Hall 'P 1'
loop_
_atom_site_label
_atom_site_fract_x
_atom_site_fract_y
_atom_site_fract_z
Rb1 0.000 0.000 0.000
Rb2 0.333 0.667 0.667
Rb3 0.667 0.333 0.333
Ac1 0.000 0.000 0.096
Ac2 0.000 0.000 0.904
Ac3 0.333 0.667 0.571
Ac4 0.333 0.667 0.763
Ac5 0.667 0.333 0.237
Ac6 0.667 0.333 0.429
Pm1 0.000 0.000 0.500
Pm2 0.333 0.667 0.167
Pm3 0.667 0.333 0.833
```